Here is a PBEsol-optimized structure of Li5Mn3Sn2O10 from Alexandria via LeMat-Bulk. Energies are from SCAN.

Unit cell a=5.234 b=5.287 c=7.994 alpha=107.29 beta=101.53 gamma=101.55
Fractional positions:
Li  0.000  0.000  0.000
Li  0.098  0.210  0.717
Li  0.270  0.594  0.099
Li  0.730  0.406  0.901
Li  0.902  0.790  0.283
Mn  0.190  0.389  0.393
Mn  0.500  0.000  0.500
Mn  0.810  0.611  0.607
Sn  0.400  0.795  0.805
Sn  0.600  0.205  0.195
O  0.049  0.602  0.842
O  0.169  0.810  0.559
O  0.276  0.004  0.269
O  0.354  0.179  0.951
O  0.447  0.420  0.652
O  0.553  0.580  0.348
O  0.646  0.821  0.049
O  0.724  0.996  0.731
O  0.831  0.190  0.441
O  0.951  0.398  0.158

M_tot   14.000 μB/cell
Energy relative to the elements, uncorrected   -2.046 eV/atom
Space-group type   P-1

Here is a PBEsol-optimized structure of NiAgAsBr2 from Alexandria via LeMat-Bulk. Energies are from SCAN.

Unit cell a=5.100 b=5.100 c=5.028 alpha=90.00 beta=90.00 gamma=90.00
Fractional positions:
Ni  0.000  0.000  0.000
Ag  0.500  0.500  0.500
As  0.500  0.500  0.000
Br  0.000  0.500  0.500
Br  0.500  0.000  0.500

M_tot   2.614 μB/cell
Energy relative to the elements, uncorrected   0.858 eV/atom
Space-group type   P4/mmm
Fermi-level density of states   0.866 states/eV per atom

Here is a PBEsol-optimized structure of ZnGaSb2I from Alexandria via LeMat-Bulk. Energies are from SCAN.

Unit cell a=5.261 b=5.261 c=5.563 alpha=90.00 beta=90.00 gamma=90.00
Fractional positions:
Zn  0.000  0.000  0.000
Ga  0.500  0.500  0.500
Sb  0.000  0.500  0.500
Sb  0.500  0.000  0.500
I  0.500  0.500  0.000

M_tot   0.000 μB/cell
Energy relative to the elements, uncorrected   0.667 eV/atom
Space-group type   P4/mmm
Fermi-level density of states   0.976 states/eV per atom

Here is a PBEsol-optimized structure of NaAgTe2 from Alexandria via LeMat-Bulk. Energies are from SCAN.

Unit cell a=6.631 b=6.631 c=6.631 alpha=102.04 beta=102.04 gamma=125.65
Fractional positions:
Na  0.000  0.000  0.000
Na  0.750  0.250  0.500
Ag  0.250  0.750  0.500
Ag  0.500  0.500  0.000
Te  0.173  0.625  0.048
Te  0.375  0.423  0.548
Te  0.577  0.125  0.952
Te  0.875  0.827  0.452

M_tot   0.000 μB/cell
Energy relative to the elements, uncorrected   -0.389 eV/atom
Space-group type   I-42d
Fermi-level density of states   0.139 states/eV per atom

Here is a PBEsol-optimized structure of ScCr2Fe from Alexandria via LeMat-Bulk. Energies are from SCAN.

Unit cell a=8.050 b=8.050 c=8.050 alpha=20.01 beta=20.01 gamma=20.01
Fractional positions:
Sc  0.000  0.000  0.000
Cr  0.499  0.499  0.499
Cr  0.764  0.764  0.764
Fe  0.241  0.241  0.241

M_tot   2.064 μB/cell
Energy   -16.812 eV per atom
Space-group type   R3m
Fermi-level density of states   1.054 states/eV per atom

Here is a PBEsol-optimized structure of ZrMn2ZnRe from Alexandria via LeMat-Bulk. Energies are from SCAN.

Unit cell a=4.261 b=4.261 c=4.842 alpha=90.00 beta=90.00 gamma=90.00
Fractional positions:
Zr  0.000  0.000  0.000
Mn  0.000  0.500  0.500
Mn  0.500  0.000  0.500
Zn  0.000  0.000  0.500
Re  0.500  0.500  0.000

M_tot   6.657 μB/cell
Energy   -29.323 eV per atom
Space-group type   P4/mmm
Fermi-level density of states   1.077 states/eV per atom

Here is a PBEsol-optimized structure of LiYSb2 from Alexandria via LeMat-Bulk. Energies are from SCAN.

Unit cell a=4.085 b=4.085 c=6.045 alpha=90.00 beta=90.00 gamma=90.00
Fractional positions:
Li  0.000  0.000  0.000
Y  0.500  0.500  0.650
Sb  0.000  0.000  0.498
Sb  0.500  0.500  0.145

M_tot   0.000 μB/cell
Energy relative to the elements, uncorrected   -0.592 eV/atom
Space-group type   P4mm
Fermi-level density of states   0.486 states/eV per atom

Here is a PBEsol-optimized structure of AsRu2Au from Alexandria via LeMat-Bulk. Energies are from SCAN.

Unit cell a=2.839 b=2.839 c=8.528 alpha=90.00 beta=90.00 gamma=118.44
Fractional positions:
As  0.000  0.000  0.000
Ru  0.500  0.500  0.220
Ru  0.500  0.500  0.780
Au  0.000  0.000  0.500

M_tot   0.000 μB/cell
Energy   -39.389 eV per atom
Space-group type   Cmmm
Fermi-level density of states   0.667 states/eV per atom

Here is a PBEsol-optimized structure of TaCr2Ag from Alexandria via LeMat-Bulk. Energies are from SCAN.

Unit cell a=2.644 b=2.644 c=8.629 alpha=90.00 beta=90.00 gamma=107.99
Fractional positions:
Ta  0.000  0.000  0.000
Cr  0.500  0.500  0.244
Cr  0.500  0.500  0.756
Ag  0.000  0.000  0.500

M_tot   1.346 μB/cell
Energy   -33.221 eV per atom
Space-group type   Cmmm
Fermi-level density of states   0.789 states/eV per atom

Here is a PBEsol-optimized structure of BaClF3 from Alexandria via LeMat-Bulk. Energies are from SCAN.

Unit cell a=4.994 b=4.994 c=4.994 alpha=90.00 beta=90.00 gamma=90.00
Fractional positions:
Ba  0.000  0.000  0.000
Cl  0.500  0.500  0.500
F  0.000  0.000  0.500
F  0.000  0.500  0.000
F  0.500  0.000  0.000

M_tot   2.000 μB/cell
Energy relative to the elements, uncorrected   -1.902 eV/atom
Space-group type   Pm-3m
Fermi-level density of states   1.914 states/eV per atom

Here is a PBEsol-optimized structure of AlCdSi from Alexandria via LeMat-Bulk. Energies are from SCAN.

Unit cell a=4.392 b=4.392 c=4.392 alpha=60.00 beta=60.00 gamma=60.00
Fractional positions:
Al  0.000  0.000  0.000
Cd  0.250  0.250  0.250
Si  0.750  0.750  0.750

M_tot   0.001 μB/cell
Energy relative to the elements, uncorrected   0.324 eV/atom
Space-group type   F-43m
Fermi-level density of states   0.412 states/eV per atom

Here is a PBEsol-optimized structure of AsP3Pt from Alexandria via LeMat-Bulk. Energies are from SCAN.

Unit cell a=4.626 b=4.626 c=4.626 alpha=90.00 beta=90.00 gamma=90.00
Fractional positions:
As  0.000  0.000  0.000
P  0.000  0.500  0.500
P  0.500  0.000  0.500
P  0.500  0.500  0.000
Pt  0.500  0.500  0.500

M_tot   0.000 μB/cell
Energy   -23.351 eV per atom
Space-group type   Pm-3m
Fermi-level density of states   0.845 states/eV per atom

Here is a PBEsol-optimized structure of SrH4S3O12 from Alexandria via LeMat-Bulk. Energies are from SCAN.

Unit cell a=5.929 b=8.518 c=10.188 alpha=81.38 beta=84.21 gamma=71.47
Fractional positions:
Sr  0.002  0.262  0.440
Sr  0.998  0.738  0.560
H  0.042  0.966  0.868
H  0.227  0.607  0.127
H  0.468  0.224  0.652
H  0.493  0.863  0.904
H  0.507  0.137  0.096
H  0.532  0.776  0.348
H  0.773  0.393  0.873
H  0.958  0.034  0.132
S  0.123  0.225  0.065
S  0.344  0.995  0.675
S  0.378  0.549  0.323
S  0.622  0.451  0.677
S  0.656  0.005  0.325
S  0.877  0.775  0.935
O  0.002  0.698  0.054
O  0.037  0.309  0.182
O  0.127  0.041  0.098
O  0.159  0.972  0.602
O  0.172  0.504  0.391
O  0.291  0.960  0.821
O  0.310  0.184  0.642
O  0.341  0.726  0.346
O  0.382  0.541  0.173
O  0.384  0.207  0.026
O  0.393  0.562  0.637
O  0.414  0.100  0.360
O  0.586  0.900  0.640
O  0.607  0.438  0.363
O  0.616  0.793  0.974
O  0.618  0.459  0.827
O  0.659  0.274  0.654
O  0.690  0.816  0.358
O  0.709  0.040  0.179
O  0.828  0.496  0.609
O  0.841  0.028  0.398
O  0.873  0.959  0.902
O  0.963  0.691  0.818
O  0.998  0.302  0.946

M_tot   0.009 μB/cell
Energy   -8.637 eV per atom
Space-group type   P-1
Fermi-level density of states   0.000 states/eV per atom

Here is a PBEsol-optimized structure of SiTe3 from Alexandria via LeMat-Bulk. Energies are from SCAN.

Unit cell a=6.270 b=11.075 c=6.995 alpha=90.00 beta=90.00 gamma=90.00
Fractional positions:
Si  0.024  0.250  0.073
Si  0.476  0.750  0.573
Si  0.524  0.250  0.427
Si  0.976  0.750  0.927
Te  0.116  0.250  0.426
Te  0.153  0.064  0.892
Te  0.153  0.436  0.892
Te  0.347  0.564  0.392
Te  0.347  0.936  0.392
Te  0.384  0.750  0.926
Te  0.616  0.250  0.074
Te  0.653  0.064  0.608
Te  0.653  0.436  0.608
Te  0.847  0.564  0.108
Te  0.847  0.936  0.108
Te  0.884  0.750  0.574

M_tot   0.000 μB/cell
Energy relative to the elements, uncorrected   0.071 eV/atom
Space-group type   Pnma
Fermi-level density of states   0.172 states/eV per atom

Here is a PBEsol-optimized structure of Ga3Rh from Alexandria via LeMat-Bulk. Energies are from SCAN.

Unit cell a=6.456 b=6.456 c=6.517 alpha=90.00 beta=90.00 gamma=90.00
Fractional positions:
Ga  0.000  0.500  0.000
Ga  0.000  0.500  0.500
Ga  0.145  0.145  0.249
Ga  0.145  0.145  0.751
Ga  0.355  0.645  0.251
Ga  0.355  0.645  0.749
Ga  0.500  0.000  0.000
Ga  0.500  0.000  0.500
Ga  0.645  0.355  0.251
Ga  0.645  0.355  0.749
Ga  0.855  0.855  0.249
Ga  0.855  0.855  0.751
Rh  0.158  0.842  0.500
Rh  0.342  0.342  0.000
Rh  0.658  0.658  0.000
Rh  0.842  0.158  0.500

M_tot   0.000 μB/cell
Energy   -21.177 eV per atom
Space-group type   P4_2/mnm
Fermi-level density of states   0.183 states/eV per atom

Here is a PBEsol-optimized structure of PbAu3 from Alexandria via LeMat-Bulk. Energies are from SCAN.

Unit cell a=8.928 b=6.687 c=5.487 alpha=90.00 beta=90.00 gamma=90.00
Fractional positions:
Pb  0.046  0.250  0.152
Pb  0.454  0.750  0.652
Pb  0.546  0.250  0.348
Pb  0.954  0.750  0.848
Au  0.063  0.750  0.341
Au  0.205  0.031  0.636
Au  0.205  0.469  0.636
Au  0.295  0.531  0.136
Au  0.295  0.969  0.136
Au  0.437  0.250  0.841
Au  0.563  0.750  0.159
Au  0.705  0.031  0.864
Au  0.705  0.469  0.864
Au  0.795  0.531  0.364
Au  0.795  0.969  0.364
Au  0.937  0.250  0.659

M_tot   0.000 μB/cell
Energy   -70.824 eV per atom
Space-group type   Pnma
Fermi-level density of states   0.299 states/eV per atom

Here is a PBEsol-optimized structure of Tl2ZnNi from Alexandria via LeMat-Bulk. Energies are from SCAN.

Unit cell a=8.829 b=8.829 c=8.829 alpha=21.27 beta=21.27 gamma=21.27
Fractional positions:
Tl  0.000  0.000  0.000
Tl  0.224  0.224  0.224
Zn  0.758  0.758  0.758
Ni  0.483  0.483  0.483

M_tot   0.000 μB/cell
Energy   -43.313 eV per atom
Space-group type   R3m
Fermi-level density of states   0.573 states/eV per atom

Here is a PBEsol-optimized structure of Lu2Fe3Si5 from Alexandria via LeMat-Bulk. Energies are from SCAN.

Unit cell a=10.171 b=10.171 c=5.321 alpha=90.00 beta=90.00 gamma=90.00
Fractional positions:
Lu  0.068  0.237  0.000
Lu  0.237  0.932  0.000
Lu  0.263  0.432  0.500
Lu  0.432  0.737  0.500
Lu  0.568  0.263  0.500
Lu  0.737  0.568  0.500
Lu  0.763  0.068  0.000
Lu  0.932  0.763  0.000
Fe  0.000  0.500  0.250
Fe  0.000  0.500  0.750
Fe  0.123  0.856  0.500
Fe  0.144  0.123  0.500
Fe  0.356  0.623  0.000
Fe  0.377  0.356  0.000
Fe  0.500  0.000  0.250
Fe  0.500  0.000  0.750
Fe  0.623  0.644  0.000
Fe  0.644  0.377  0.000
Fe  0.856  0.877  0.500
Fe  0.877  0.144  0.500
Si  0.000  0.000  0.258
Si  0.000  0.000  0.742
Si  0.024  0.319  0.500
Si  0.179  0.679  0.250
Si  0.179  0.679  0.750
Si  0.181  0.476  0.000
Si  0.319  0.976  0.500
Si  0.321  0.179  0.250
Si  0.321  0.179  0.750
Si  0.476  0.819  0.000
Si  0.500  0.500  0.242
Si  0.500  0.500  0.758
Si  0.524  0.181  0.000
Si  0.679  0.821  0.250
Si  0.679  0.821  0.750
Si  0.681  0.024  0.500
Si  0.819  0.524  0.000
Si  0.821  0.321  0.250
Si  0.821  0.321  0.750
Si  0.976  0.681  0.500

M_tot   0.000 μB/cell
Energy relative to the elements, uncorrected   -0.615 eV/atom
Space-group type   P4/mnc
Fermi-level density of states   0.428 states/eV per atom

Here is a PBEsol-optimized structure of K2NaGeS from Alexandria via LeMat-Bulk. Energies are from SCAN.

Unit cell a=6.281 b=6.281 c=4.680 alpha=90.00 beta=90.00 gamma=90.00
Fractional positions:
K  0.000  0.500  0.000
K  0.500  0.000  0.000
Na  0.000  0.000  0.000
Ge  0.500  0.500  0.500
S  0.000  0.000  0.500

M_tot   2.144 μB/cell
Energy relative to the elements, uncorrected   -0.040 eV/atom
Space-group type   P4/mmm
Fermi-level density of states   0.484 states/eV per atom

Here is a PBEsol-optimized structure of NaTlH2 from Alexandria via LeMat-Bulk. Energies are from SCAN.

Unit cell a=4.361 b=4.361 c=4.361 alpha=60.00 beta=60.00 gamma=60.00
Fractional positions:
Na  0.000  0.000  0.000
Tl  0.500  0.500  0.500
H  0.250  0.250  0.250
H  0.750  0.750  0.750

M_tot   0.000 μB/cell
Energy   -20.661 eV per atom
Space-group type   Fm-3m
Fermi-level density of states   0.083 states/eV per atom